Version one
ErHfSn after structural relaxation, computed with PBE.

For the density of states at the Fermi level, the calculation gives 7.49 states/eV/cell. As for the calculated volume: 148 Å³ per cell.

The structure belongs to space group I4mm (No. 107); the cell edges are 3.271, 3.271 and 13.863 Å and the angles 90.00°, 90.00° and 90.00°. The asymmetric unit holds Er at (0.000, 0.000, 0.000), Hf at (0.000, 0.000, 0.669) and Sn at (0.000, 0.000, 0.327).

***

Version two
ErHfSn after structural relaxation, computed with PBE.

For the density of states at the Fermi level, the calculation gives 3.72 states/eV/cell. As for the calculated volume: 76 Å³ per cell.

The structure belongs to space group P3m1 (No. 156); the cell edges are 5.0200, 5.0200 and 3.4674 Å and the angles 90.00°, 90.00° and 120.00°. The asymmetric unit holds Er at (0.0000, 0.0000, 0.0000), Hf at (0.6667, 0.3333, 0.5359) and Sn at (0.3333, 0.6667, 0.3895).

***

The least stable of the structures above is version two, whereas version one is the most stable.